Entry 1:
Cs5K24 | PBE | relaxed

## Properties
DFT total energy: -1.051 eV/atom
size of the total moment: 0.00 μB per atom
ΔE_f: 0.005 eV per atom
space group: No. 217
D(E_F): 21.19 states/eV/f.u.

Lattice parameters (Å, degrees): 14.3829 14.3829 14.3829 109.47 109.47 109.47
Fractional coordinates of all 29 atoms:
Cs (0.0000, 0.0000, 0.0000)
Cs (0.0000, 0.0000, 0.6335)
Cs (0.0000, 0.6335, 0.0000)
Cs (0.3665, 0.3665, 0.3665)
Cs (0.6335, 0.0000, 0.0000)
K (0.0000, 0.1917, 0.3793)
K (0.0000, 0.3793, 0.1917)
K (0.0000, 0.4031, 0.6760)
K (0.0000, 0.6760, 0.4031)
K (0.1876, 0.8083, 0.8083)
K (0.1917, 0.0000, 0.3793)
K (0.1917, 0.3793, 0.0000)
K (0.2729, 0.5969, 0.5969)
K (0.3240, 0.3240, 0.7271)
K (0.3240, 0.7271, 0.3240)
K (0.3793, 0.0000, 0.1917)
K (0.3793, 0.1917, 0.0000)
K (0.4031, 0.0000, 0.6760)
K (0.4031, 0.6760, 0.0000)
K (0.5969, 0.2729, 0.5969)
K (0.5969, 0.5969, 0.2729)
K (0.6207, 0.6207, 0.8124)
K (0.6207, 0.8124, 0.6207)
K (0.6760, 0.0000, 0.4031)
K (0.6760, 0.4031, 0.0000)
K (0.7271, 0.3240, 0.3240)
K (0.8083, 0.1876, 0.8083)
K (0.8083, 0.8083, 0.1876)
K (0.8124, 0.6207, 0.6207)

=====

Entry 2:
KBa2Sn4Hg3 | PBE | relaxed

## Properties
DFT total energy: -2.505 eV/atom
size of the total moment: 0.00 μB per atom
ΔE_f: -0.319 eV per atom
space group: No. 115
D(E_F): 5.06 states/eV/f.u.

Lattice parameters (Å, degrees): 4.9664 4.9664 13.4357 90.00 90.00 90.00
Fractional coordinates of all 10 atoms:
K (0.0000, 0.0000, 0.0000)
Ba (0.0000, 0.5000, 0.7311)
Ba (0.5000, 0.0000, 0.2689)
Sn (0.0000, 0.0000, 0.5000)
Sn (0.0000, 0.5000, 0.1588)
Sn (0.5000, 0.0000, 0.8412)
Sn (0.5000, 0.5000, 0.5000)
Hg (0.0000, 0.5000, 0.3686)
Hg (0.5000, 0.0000, 0.6314)
Hg (0.5000, 0.5000, 0.0000)

=====

Entry 3:
Ca2YCoRu | PBE | relaxed

## Properties
DFT total energy: -4.729 eV/atom
size of the total moment: 0.08 μB per atom
ΔE_f: 0.641 eV per atom
space group: No. 123
D(E_F): 5.41 states/eV/f.u.

Lattice parameters (Å, degrees): 5.0509 5.0509 5.0712 90.00 90.00 90.00
Fractional coordinates of all 5 atoms:
Ca (0.0000, 0.5000, 0.0000)
Ca (0.5000, 0.0000, 0.0000)
Y (0.0000, 0.0000, 0.5000)
Co (0.0000, 0.0000, 0.0000)
Ru (0.5000, 0.5000, 0.5000)

=====

Entry 4:
Ho7ScCd4 | PBE | relaxed

## Properties
DFT total energy: -3.497 eV/atom
size of the total moment: 0.00 μB per atom
ΔE_f: 0.006 eV per atom
space group: No. 12
D(E_F): 12.99 states/eV/f.u.

Lattice parameters (Å, degrees): 7.8184 7.8184 9.6638 119.81 119.81 41.96
Fractional coordinates of all 12 atoms:
Ho (0.0000, 0.0000, 0.0000)
Ho (0.2443, 0.2443, 0.7021)
Ho (0.2950, 0.2950, 0.1188)
Ho (0.4280, 0.4280, 0.5866)
Ho (0.5720, 0.5720, 0.4134)
Ho (0.7050, 0.7050, 0.8812)
Ho (0.7557, 0.7557, 0.2979)
Sc (0.5000, 0.5000, 0.0000)
Cd (0.0447, 0.0447, 0.7109)
Cd (0.1797, 0.1797, 0.3444)
Cd (0.8203, 0.8203, 0.6556)
Cd (0.9553, 0.9553, 0.2891)

=====

Entry 5:
PtN | PBE | relaxed

## Properties
DFT total energy: -6.333 eV/atom
size of the total moment: 0.00 μB per atom
space group: No. 59
ΔE_f (raw): 850 meV/atom
D(E_F): 0.60 states/eV/f.u.

Lattice parameters (Å, degrees): 3.5772 9.9455 4.2987 90.00 90.00 90.00
Fractional coordinates of all 12 atoms:
Pt (0.2500, 0.0640, 0.2106)
Pt (0.2500, 0.4360, 0.2106)
Pt (0.2500, 0.7500, 0.2185)
Pt (0.7500, 0.2500, 0.7815)
Pt (0.7500, 0.5640, 0.7894)
Pt (0.7500, 0.9360, 0.7894)
N (0.2500, 0.2500, 0.9829)
N (0.2500, 0.5975, 0.5071)
N (0.2500, 0.9025, 0.5071)
N (0.7500, 0.0975, 0.4929)
N (0.7500, 0.4025, 0.4929)
N (0.7500, 0.7500, 0.0171)

=====

Entry 6:
YbAs2O2 | PBE | relaxed

## Properties
DFT total energy: -5.558 eV/atom
size of the total moment: 0.05 μB per atom
space group: No. 141
ΔE_f (raw): -1409 meV/atom
D(E_F): 14.43 states/eV/f.u.

Lattice parameters (Å, degrees): 7.8598 7.8598 7.8598 119.31 119.31 91.20
Fractional coordinates of all 20 atoms:
Yb (0.0000, 0.0000, 0.0000)
Yb (0.0000, 0.0000, 0.5000)
Yb (0.0000, 0.5000, 0.0000)
Yb (0.5000, 0.0000, 0.5000)
As (0.1443, 0.6252, 0.5191)
As (0.3748, 0.3939, 0.5191)
As (0.3748, 0.8557, 0.9809)
As (0.3939, 0.3748, 0.0191)
As (0.6061, 0.6252, 0.9809)
As (0.6252, 0.1443, 0.0191)
As (0.6252, 0.6061, 0.4809)
As (0.8557, 0.3748, 0.4809)
O (0.1550, 0.2173, 0.9377)
O (0.2173, 0.1550, 0.4377)
O (0.2173, 0.7797, 0.0623)
O (0.2203, 0.7827, 0.4377)
O (0.7797, 0.2173, 0.5623)
O (0.7827, 0.2203, 0.9377)
O (0.7827, 0.8450, 0.5623)
O (0.8450, 0.7827, 0.0623)

=====

Entry 7:
SmSnTe4 | PBE | relaxed

## Properties
DFT total energy: -4.077 eV/atom
size of the total moment: 0.00 μB per atom
space group: No. 11
ΔE_f (raw): -529 meV/atom
D(E_F): 2.50 states/eV/f.u.

Lattice parameters (Å, degrees): 6.3042 10.3119 8.0405 90.00 111.71 90.00
Fractional coordinates of all 12 atoms:
Sm (0.0949, 0.2500, 0.1779)
Sm (0.9051, 0.7500, 0.8221)
Sn (0.2840, 0.7500, 0.4011)
Sn (0.7160, 0.2500, 0.5989)
Te (0.0439, 0.0572, 0.8506)
Te (0.0439, 0.4428, 0.8506)
Te (0.2675, 0.2500, 0.5940)
Te (0.3962, 0.7500, 0.7790)
Te (0.6038, 0.2500, 0.2210)
Te (0.7325, 0.7500, 0.4060)
Te (0.9561, 0.5572, 0.1494)
Te (0.9561, 0.9428, 0.1494)

=====

Entry 8:
HoZnGaPt3 | PBE | relaxed

## Properties
DFT total energy: -5.144 eV/atom
size of the total moment: 0.00 μB per atom
ΔE_f: -0.644 eV per atom
space group: No. 63
D(E_F): 3.08 states/eV/f.u.

Lattice parameters (Å, degrees): 6.8389 6.8389 5.6508 90.00 90.00 121.77
Fractional coordinates of all 12 atoms:
Ho (0.1901, 0.8099, 0.7500)
Ho (0.8099, 0.1901, 0.2500)
Zn (0.4320, 0.5680, 0.7500)
Zn (0.5680, 0.4320, 0.2500)
Ga (0.1362, 0.8638, 0.2500)
Ga (0.8638, 0.1362, 0.7500)
Pt (0.2109, 0.2109, 0.0000)
Pt (0.2109, 0.2109, 0.5000)
Pt (0.3388, 0.6612, 0.2500)
Pt (0.6612, 0.3388, 0.7500)
Pt (0.7891, 0.7891, 0.0000)
Pt (0.7891, 0.7891, 0.5000)

=====

Number 6 is which compound? YbAs2O2

=====

Number 2 is which compound? KBa2Sn4Hg3